# K2CrO4, relaxed, DFT GGA+U
data_K2CrO4
_cell_length_a 6.106
_cell_length_b 7.764
_cell_length_c 11.887
_cell_angle_alpha 90.00
_cell_angle_beta 117.75
_cell_angle_gamma 90.00
_space_group_name_H-M_alt 'P 1'
_space_group_IT_number 1
loop_
_space_group_symop_operation_xyz
'x,y,z'
loop_
_atom_site_label
_atom_site_fract_x
_atom_site_fract_y
_atom_site_fract_z
_atom_site_occupancy
K1 0.023 0.004 0.298 1
K2 0.023 0.496 0.798 1
K3 0.311 0.169 0.077 1
K4 0.311 0.331 0.577 1
K5 0.689 0.669 0.423 1
K6 0.689 0.831 0.923 1
K7 0.977 0.504 0.202 1
K8 0.977 0.996 0.702 1
Cr1 0.337 0.727 0.079 1
Cr2 0.337 0.773 0.579 1
Cr3 0.663 0.227 0.421 1
Cr4 0.663 0.273 0.921 1
O1 0.177 0.677 0.644 1
O2 0.177 0.823 0.144 1
O3 0.239 0.694 0.433 1
O4 0.239 0.806 0.933 1
O5 0.287 0.516 0.072 1
O6 0.287 0.984 0.572 1
O7 0.361 0.232 0.833 1
O8 0.361 0.268 0.333 1
O9 0.639 0.732 0.667 1
O10 0.639 0.768 0.167 1
O11 0.713 0.016 0.428 1
O12 0.713 0.484 0.928 1
O13 0.761 0.194 0.067 1
O14 0.761 0.306 0.567 1
O15 0.823 0.177 0.856 1
O16 0.823 0.323 0.356 1
# * final energy: -5.9093 eV/atom
# * crystal system: monoclinic
# * calculated volume: 498.76 Å³ per cell
# * energy relative to the lowest polymorph listed for this composition: 0 meV/atom